Record 1
# YMnSi | the Alexandria database | PBE-GGA | optimized geometry
data_YMnSi
_space_group_name_H-M_alt 'I 4 m m'
_space_group_IT_number 107
_space_group_name_Hall 'I 4 -2'
_cell_length_a 3.174
_cell_length_b 3.174
_cell_length_c 10.129
_cell_angle_alpha 90.00
_cell_angle_beta 90.00
_cell_angle_gamma 90.00
loop_
_atom_site_label
_atom_site_type_symbol
_atom_site_fract_x
_atom_site_fract_y
_atom_site_fract_z
Y1 Y 0.000 0.000 0.000
Mn1 Mn 0.000 0.000 0.299
Si1 Si 0.000 0.000 0.710
# Energy relative to the elements, uncorrected (eV/atom): -0.195

Record 2
# Al2SiPd2 | the Alexandria database | PBE-GGA | optimized geometry
data_Al2SiPd2
_space_group_name_H-M_alt 'P 4/m b m'
_space_group_IT_number 127
_space_group_name_Hall '-P 4 2ab'
_cell_length_a 7.492
_cell_length_b 7.492
_cell_length_c 2.821
_cell_angle_alpha 90.00
_cell_angle_beta 90.00
_cell_angle_gamma 90.00
loop_
_atom_site_label
_atom_site_type_symbol
_atom_site_fract_x
_atom_site_fract_y
_atom_site_fract_z
Al1 Al 0.152 0.348 0.000
Si1 Si 0.000 0.000 0.000
Pd1 Pd 0.143 0.643 0.500
# Polymorph energy (0 for the lowest one) (eV per atom): 0.083
# Energy relative to the elements, uncorrected (eV/atom): -0.391

Record 3
# NdI4 | the Alexandria database | PBE-GGA | optimized geometry
data_NdI4
_space_group_name_H-M_alt 'P m -3 m'
_space_group_IT_number 221
_space_group_name_Hall '-P 4 2 3'
_cell_length_a 6.211
_cell_length_b 6.211
_cell_length_c 6.211
_cell_angle_alpha 90.00
_cell_angle_beta 90.00
_cell_angle_gamma 90.00
loop_
_atom_site_label
_atom_site_type_symbol
_atom_site_fract_x
_atom_site_fract_y
_atom_site_fract_z
Nd1 Nd 0.000 0.000 0.000
I1 I 0.000 0.000 0.500
I2 I 0.500 0.500 0.500
# Energy relative to the elements, uncorrected (eV/atom): -0.818

Record 4
# CePm2Y | the Alexandria database | PBE-GGA | optimized geometry
data_CePm2Y
_space_group_name_H-M_alt 'P 4/m m m'
_space_group_IT_number 123
_space_group_name_Hall '-P 4 2'
_cell_length_a 5.091
_cell_length_b 5.091
_cell_length_c 5.075
_cell_angle_alpha 90.00
_cell_angle_beta 90.00
_cell_angle_gamma 90.00
loop_
_atom_site_label
_atom_site_type_symbol
_atom_site_fract_x
_atom_site_fract_y
_atom_site_fract_z
Ce1 Ce 0.000 0.000 0.000
Pm1 Pm 0.000 0.500 0.500
Y1 Y 0.500 0.500 0.000
# Polymorph energy (0 for the lowest one) (eV per atom): 0.015
# Formation enthalpy at 0 K (meV/atom): 77.5

Record 5
# CaGd2Tm | the Alexandria database | PBE-GGA | optimized geometry
data_CaGd2Tm
_space_group_name_H-M_alt 'P 4/m m m'
_space_group_IT_number 123
_space_group_name_Hall '-P 4 2'
_cell_length_a 5.139
_cell_length_b 5.139
_cell_length_c 5.101
_cell_angle_alpha 90.00
_cell_angle_beta 90.00
_cell_angle_gamma 90.00
loop_
_atom_site_label
_atom_site_type_symbol
_atom_site_fract_x
_atom_site_fract_y
_atom_site_fract_z
Ca1 Ca 0.000 0.000 0.000
Gd1 Gd 0.000 0.500 0.500
Tm1 Tm 0.500 0.500 0.000
# Polymorph energy (0 for the lowest one) (eV per atom): 0.066
# Formation enthalpy at 0 K (meV/atom): 123.0

Record 6
# KCa2Ni | the Alexandria database | PBE-GGA | optimized geometry
data_KCa2Ni
_space_group_name_H-M_alt 'I m m 2'
_space_group_IT_number 44
_space_group_name_Hall 'I 2 -2'
_cell_length_a 3.723
_cell_length_b 3.941
_cell_length_c 20.740
_cell_angle_alpha 90.00
_cell_angle_beta 90.00
_cell_angle_gamma 90.00
loop_
_atom_site_label
_atom_site_type_symbol
_atom_site_fract_x
_atom_site_fract_y
_atom_site_fract_z
K1 K 0.000 0.000 0.000
Ca1 Ca 0.000 0.000 0.329
Ca2 Ca 0.000 0.500 0.180
Ni1 Ni 0.000 0.500 0.729
# Polymorph energy (0 for the lowest one) (eV per atom): 0.088
# Formation enthalpy at 0 K (meV/atom): 150.7

Record 7
# Na2CeHoS4 | the Alexandria database | PBE-GGA | optimized geometry
data_Na2CeHoS4
_space_group_name_H-M_alt 'P 1 2/m 1'
_space_group_IT_number 10
_space_group_name_Hall '-P 2y'
_cell_length_a 7.027
_cell_length_b 4.055
_cell_length_c 7.065
_cell_angle_alpha 90.00
_cell_angle_beta 109.31
_cell_angle_gamma 90.00
loop_
_atom_site_label
_atom_site_type_symbol
_atom_site_fract_x
_atom_site_fract_y
_atom_site_fract_z
Na1 Na 0.000 0.000 0.000
Na2 Na 0.500 0.500 0.000
Ce1 Ce 0.000 0.500 0.500
Ho1 Ho 0.500 0.000 0.500
S1 S 0.252 0.000 0.731
S2 S 0.265 0.500 0.273
# Energy relative to the elements, uncorrected (eV/atom): -1.784

Record 8
# NdSm4Tl5 | the Alexandria database | PBE-GGA | optimized geometry
data_NdSm4Tl5
_space_group_name_H-M_alt 'P 4/m m m'
_space_group_IT_number 123
_space_group_name_Hall '-P 4 2'
_cell_length_a 3.849
_cell_length_b 3.849
_cell_length_c 19.578
_cell_angle_alpha 90.00
_cell_angle_beta 90.00
_cell_angle_gamma 90.00
loop_
_atom_site_label
_atom_site_type_symbol
_atom_site_fract_x
_atom_site_fract_y
_atom_site_fract_z
Nd1 Nd 0.000 0.000 0.000
Sm1 Sm 0.000 0.000 0.202
Sm2 Sm 0.000 0.000 0.401
Tl1 Tl 0.500 0.500 0.103
Tl2 Tl 0.500 0.500 0.301
Tl3 Tl 0.500 0.500 0.500
# Formation enthalpy at 0 K (meV/atom): -381.8

no.,magnetization (μB per formula unit),energy (eV/atom)
1,0.13,-7.2143
2,0.00,-5.0500
3,1.03,-3.0112
4,0.71,-5.3973
5,16.15,-8.5358
6,0.00,-2.5698
7,1.01,-5.4915
8,0.00,-3.9294